1.
DFT (GGA-PBE) results for a relaxed structure of WSeCl3.

Calculated values
Formation energy without anion corrections   1224 meV/atom
Excess energy over the best structure of this formula in the dataset   41.38 kcal/mol of atoms
Crystal system   cubic
Fermi-level density of states   1.58 states/eV/atom

Structure (POSCAR):
```
WSeCl3
1.0
-3.454 1.614 -3.402
-3.733 -2.071 2.808
-0.492 4.384 2.579
Cl Se W
3 1 1
Direct
0.500 0.000 0.000
0.000 0.500 0.000
0.000 0.000 0.500
0.000 0.000 0.000
0.500 0.500 0.500
```

=====

2.
DFT (GGA-PBE) results for a relaxed structure of Ba2AlAu.

Calculated values
Energy of formation   -173 kJ/mol of formula units
Crystal system   monoclinic
Fermi-level density of states   0.62 states/eV/atom

Structure (POSCAR):
```
Ba2AlAu
1.0
-3.260 -3.064 1.384
1.160 -3.517 2.867
-2.487 2.885 8.292
Al Au Ba
1 1 2
Direct
0.792 0.792 0.625
0.458 0.458 0.625
0.043 0.043 0.875
0.207 0.207 0.375
```

=====

3.
DFT (GGA-PBE) results for a relaxed structure of SrLiMg6Ag.

Calculated values
Energy of formation   46 kJ/mol of formula units
Crystal system   orthorhombic
Fermi-level density of states   0.47 states/eV/atom

Structure (POSCAR):
```
SrLiMg6Ag
1.0
7.594 0.000 0.000
0.000 9.918 0.000
-3.797 -4.959 6.368
Mg Li Ag Sr
12 2 2 2
Direct
0.926 0.631 0.248
0.997 0.747 0.994
0.074 0.369 0.752
0.677 0.369 0.752
0.677 0.883 0.752
0.003 0.253 0.006
0.926 0.117 0.248
0.323 0.631 0.248
0.420 0.170 0.840
0.074 0.883 0.752
0.580 0.830 0.160
0.323 0.117 0.248
0.000 0.000 0.500
0.500 0.000 0.500
0.500 0.500 0.000
0.500 0.000 0.000
0.301 0.551 0.602
0.699 0.449 0.398
```

=====

4.
DFT (GGA-PBE) results for a relaxed structure of CaTlPdO4.

Calculated values
Formation energy without anion corrections   -1174 meV/atom
Crystal system   orthorhombic
Fermi-level density of states   0.30 states/eV/atom

Structure (POSCAR):
```
CaTlPdO4
1.0
-2.218 -3.455 6.067
3.789 -2.579 -4.507
1.892 5.510 3.830
O Ca Tl Pd
8 2 2 2
Direct
0.213 0.426 0.274
0.299 0.003 0.752
0.701 0.997 0.248
0.705 0.003 0.752
0.213 0.426 0.651
0.295 0.997 0.248
0.787 0.574 0.349
0.787 0.574 0.726
0.077 0.153 0.827
0.923 0.847 0.173
0.500 0.000 0.000
0.500 0.000 0.500
0.500 0.500 0.500
0.000 0.500 0.500
```

=====

Magnetization for the records above, in order: 0.999, 0.000, 0.000, 0.000 μB/atom